1.
## Er6Al2In (PBE-GGA)

Data for a relaxed structure of Er6Al2In.

It has space group Immm (No. 71), with a = 9.559 Å, b = 9.733 Å, c = 10.576 Å, α = 90.00°, β = 90.00° and γ = 90.00°. Symmetry generates all atoms from Er at (0.000, 0.209, 0.179), Er at (0.185, 0.225, 0.500), Er at (0.202, 0.500, 0.256), Al at (0.000, 0.000, 0.378), Al at (0.144, 0.000, 0.000), In at (0.000, 0.500, 0.000) and In at (0.000, 0.500, 0.500).

2.
## ErAl2In (PBE-GGA)

Data for a relaxed structure of ErAl2In.

It has space group P4/mmm (No. 123), with a = 4.414 Å, b = 4.414 Å, c = 4.287 Å, α = 90.00°, β = 90.00° and γ = 90.00°. Symmetry generates all atoms from Er at (0.000, 0.000, 0.000), Al at (0.000, 0.500, 0.500) and In at (0.500, 0.500, 0.000).

3.
## Er12Al2In5 (PBE-GGA)

Data for a relaxed structure of Er12Al2In5.

It has space group C2/m (No. 12), with a = 12.823 Å, b = 10.392 Å, c = 7.883 Å, α = 90.00°, β = 99.90° and γ = 90.00°. Symmetry generates all atoms from Er at (0.070, 0.000, 0.208), Er at (0.110, 0.237, 0.878), Er at (0.124, 0.500, 0.637), Er at (0.160, 0.301, 0.310), Al at (0.000, 0.198, 0.500), In at (0.000, 0.500, 0.000), In at (0.160, 0.000, 0.594) and In at (0.244, 0.500, 0.023).

4.
## Er7Al5In (PBE-GGA)

Data for a relaxed structure of Er7Al5In.

It has space group Imm2 (No. 44), with a = 6.155 Å, b = 9.954 Å, c = 10.509 Å, α = 90.00°, β = 90.00° and γ = 90.00°. Symmetry generates all atoms from Er at (0.000, 0.000, 0.000), Er at (0.000, 0.000, 0.363), Er at (0.000, 0.318, 0.589), Er at (0.000, 0.331, 0.080), Er at (0.000, 0.500, 0.331), Al at (0.000, 0.500, 0.832), Al at (0.225, 0.245, 0.841) and In at (0.000, 0.000, 0.673).

5.
## Er5Al2In2 (PBE-GGA)

Data for a relaxed structure of Er5Al2In2.

It has space group Cmce (No. 64), with a = 15.994 Å, b = 7.830 Å, c = 7.706 Å, α = 90.00°, β = 90.00° and γ = 90.00°. Symmetry generates all atoms from Er at (0.000, 0.000, 0.000), Er at (0.131, 0.187, 0.319), Al at (0.000, 0.118, 0.619) and In at (0.220, 0.000, 0.000).

6.
## Er2AlIn (PBE-GGA)

Data for a relaxed structure of Er2AlIn.

It has space group Pmma (No. 51), with a = 5.197 Å, b = 3.620 Å, c = 10.379 Å, α = 90.00°, β = 90.00° and γ = 90.00°. Symmetry generates all atoms from Er at (0.250, 0.000, 0.120), Er at (0.250, 0.000, 0.639), Al at (0.250, 0.500, 0.880) and In at (0.250, 0.500, 0.381).

7.
## Er5AlIn2 (PBE-GGA)

Data for a relaxed structure of Er5AlIn2.

It has space group I4/mcm (No. 140), with a = 7.952 Å, b = 7.952 Å, c = 13.979 Å, α = 90.00°, β = 90.00° and γ = 90.00°. Symmetry generates all atoms from Er at (0.000, 0.000, 0.000), Er at (0.163, 0.337, 0.154), Al at (0.000, 0.000, 0.250) and In at (0.132, 0.368, 0.500).

8.
## ErAl2In (PBE-GGA)

Data for a relaxed structure of ErAl2In.

It has space group R-3m (No. 166, hexagonal axes), with a = 5.0478 Å, b = 5.0478 Å, c = 12.0187 Å, α = 90.00°, β = 90.00° and γ = 120.00°. Symmetry generates all atoms from Er at (0.0000, 0.0000, 0.0000), Al at (0.0000, 0.0000, 0.2525) and In at (0.0000, 0.0000, 0.5000).

9.
## Er2AlIn (PBE-GGA)

Data for a relaxed structure of Er2AlIn.

It has space group P4/mmm (No. 123), with a = 3.544 Å, b = 3.544 Å, c = 7.765 Å, α = 90.00°, β = 90.00° and γ = 90.00°. Symmetry generates all atoms from Er at (0.000, 0.000, 0.237), Al at (0.500, 0.500, 0.000) and In at (0.500, 0.500, 0.500).

10.
## Er3Al2In (PBE-GGA)

Data for a relaxed structure of Er3Al2In.

It has space group P4/mmm (No. 123), with a = 3.529 Å, b = 3.529 Å, c = 11.458 Å, α = 90.00°, β = 90.00° and γ = 90.00°. Symmetry generates all atoms from Er at (0.000, 0.000, 0.000), Er at (0.000, 0.000, 0.321), Al at (0.500, 0.500, 0.161) and In at (0.500, 0.500, 0.500).

11.
## Er7Al2In2 (PBE-GGA)

Data for a relaxed structure of Er7Al2In2.

It has space group Cmmm (No. 65), with a = 7.615 Å, b = 11.060 Å, c = 7.664 Å, α = 90.00°, β = 90.00° and γ = 90.00°. Symmetry generates all atoms from Er at (0.000, 0.000, 0.000), Er at (0.000, 0.500, 0.242), Er at (0.250, 0.250, 0.282), Al at (0.000, 0.285, 0.000) and In at (0.185, 0.000, 0.500).

12.
## Er12Al6In (PBE-GGA)

Data for a relaxed structure of Er12Al6In.

It has space group Im-3 (No. 204), with a = 10.047 Å, b = 10.047 Å, c = 10.047 Å, α = 90.00°, β = 90.00° and γ = 90.00°. Symmetry generates all atoms from Er at (0.000, 0.188, 0.285), Al at (0.000, 0.375, 0.500) and In at (0.000, 0.000, 0.000).

13.
## Er8Al2In3 (PBE-GGA)

Data for a relaxed structure of Er8Al2In3.

It has space group Cmmm (No. 65), with a = 8.819 Å, b = 15.504 Å, c = 5.355 Å, α = 90.00°, β = 90.00° and γ = 90.00°. Symmetry generates all atoms from Er at (0.000, 0.110, 0.000), Er at (0.000, 0.315, 0.000), Er at (0.211, 0.376, 0.500), Al at (0.000, 0.223, 0.500), In at (0.000, 0.000, 0.500) and In at (0.179, 0.500, 0.000).

14.
## Er3AlIn2 (PBE-GGA)

Data for a relaxed structure of Er3AlIn2.

It has space group P4/mmm (No. 123), with a = 3.488 Å, b = 3.488 Å, c = 12.249 Å, α = 90.00°, β = 90.00° and γ = 90.00°. Symmetry generates all atoms from Er at (0.000, 0.000, 0.000), Er at (0.000, 0.000, 0.345), Al at (0.500, 0.500, 0.500) and In at (0.500, 0.500, 0.171).

15.
## Er4Al2In5 (PBE-GGA)

Data for a relaxed structure of Er4Al2In5.

It has space group P2/m (No. 10), with a = 7.811 Å, b = 3.452 Å, c = 9.956 Å, α = 90.00°, β = 94.23° and γ = 90.00°. Symmetry generates all atoms from Er at (0.173, 0.000, 0.378), Er at (0.264, 0.000, 0.939), Al at (0.062, 0.500, 0.129), In at (0.180, 0.500, 0.662), In at (0.435, 0.500, 0.193) and In at (0.500, 0.500, 0.500).

16.
## Er3AlIn2 (PBE-GGA)

Data for a relaxed structure of Er3AlIn2.

It has space group Cmmm (No. 65), with a = 5.235 Å, b = 15.680 Å, c = 3.643 Å, α = 90.00°, β = 90.00° and γ = 90.00°. Symmetry generates all atoms from Er at (0.000, 0.000, 0.000), Er at (0.000, 0.340, 0.000), Al at (0.000, 0.500, 0.500) and In at (0.000, 0.170, 0.500).

17.
## Er7AlIn5 (PBE-GGA)

Data for a relaxed structure of Er7AlIn5.

It has space group Imm2 (No. 44), with a = 6.285 Å, b = 10.628 Å, c = 10.710 Å, α = 90.00°, β = 90.00° and γ = 90.00°. Symmetry generates all atoms from Er at (0.000, 0.000, 0.000), Er at (0.000, 0.000, 0.392), Er at (0.000, 0.312, 0.577), Er at (0.000, 0.338, 0.063), Er at (0.000, 0.500, 0.321), Al at (0.000, 0.000, 0.685), In at (0.000, 0.500, 0.808) and In at (0.243, 0.240, 0.824).

18.
## Er7AlIn4 (PBE-GGA)

Data for a relaxed structure of Er7AlIn4.

It has space group C2/m (No. 12), with a = 14.433 Å, b = 5.556 Å, c = 11.096 Å, α = 90.00°, β = 128.12° and γ = 90.00°. Symmetry generates all atoms from Er at (0.000, 0.000, 0.000), Er at (0.071, 0.500, 0.317), Er at (0.157, 0.000, 0.593), Er at (0.216, 0.500, 0.867), Al at (0.000, 0.500, 0.000), In at (0.065, 0.000, 0.776) and In at (0.205, 0.000, 0.342).

19.
## Er6AlIn5 (PBE-GGA)

Data for a relaxed structure of Er6AlIn5.

It has space group P2/m (No. 10), with a = 5.247 Å, b = 7.396 Å, c = 8.292 Å, α = 90.00°, β = 108.38° and γ = 90.00°. Symmetry generates all atoms from Er at (0.000, 0.244, 0.000), Er at (0.336, 0.247, 0.673), Al at (0.500, 0.000, 0.000), In at (0.168, 0.000, 0.336), In at (0.168, 0.500, 0.336) and In at (0.500, 0.500, 0.000).

20.
## Er4AlIn2 (PBE-GGA)

Data for a relaxed structure of Er4AlIn2.

It has space group R-3m (No. 166, hexagonal axes), with a = 5.1463 Å, b = 5.1463 Å, c = 25.2415 Å, α = 90.00°, β = 90.00° and γ = 120.00°. Symmetry generates all atoms from Er at (0.0000, 0.0000, 0.1227), Er at (0.0000, 0.0000, 0.3741), Al at (0.0000, 0.0000, 0.5000) and In at (0.0000, 0.0000, 0.2512).

21.
## Er5Al4In (PBE-GGA)

Data for a relaxed structure of Er5Al4In.

It has space group P4/mmm (No. 123), with a = 3.548 Å, b = 3.548 Å, c = 18.561 Å, α = 90.00°, β = 90.00° and γ = 90.00°. Symmetry generates all atoms from Er at (0.000, 0.000, 0.000), Er at (0.000, 0.000, 0.193), Er at (0.000, 0.000, 0.390), Al at (0.500, 0.500, 0.096), Al at (0.500, 0.500, 0.291) and In at (0.500, 0.500, 0.500).

E for every record listed, in sequence, given in eV per atom: -4.48, -4.06, -4.21, -4.34, -4.32, -4.31, -4.31, -3.73, -4.31, -4.39, -4.13, -4.41, -4.17, -4.24, -3.99, -4.23, -3.99, -3.99, -4.16, -4.18, -4.45.
V for every record listed, in sequence, given in Å³ per cell: 984.0, 83.5, 1034.9, 643.9, 965.0, 195.2, 883.9, 265.2, 97.5, 142.7, 645.4, 1014.0, 732.1, 149.0, 267.7, 299.1, 715.4, 700.0, 305.3, 578.9, 233.7.